## GaNiMo4C2 (GGA-PBE)

Data for a geometry-optimized GaNiMo4C2 structure.

Values from the calculation:
Total DFT energy (no corrections), eV/atom: -8.79

Cell lengths 3.0706, 3.0706, 12.8632 Å; angles 90.00, 90.00, 120.00 degrees
Last column: nearest neighbours and their distance in Å.
Space group P-6m2 (No. 187)
Symmetry-distinct sites (fractional):
Ga: 0.0000 0.0000 0.0000 x1  6 Mo 2.79, 6 Ga 3.07
Ni: 0.3333 0.6667 0.5000 x1  6 Mo 2.65
Mo: 0.0000 0.0000 0.3468 x2  3 C 2.11
Mo: 0.3333 0.6667 0.1679 x2  3 C 2.11
C: 0.6667 0.3333 0.2572 x2  6 Mo 2.11


## GaMo4PC2 (GGA-PBE)

Data for a geometry-optimized GaMo4PC2 structure.

Values from the calculation:
Total DFT energy (no corrections), eV/atom: -8.93

Cell lengths 3.1353, 3.1353, 12.3955 Å; angles 90.00, 90.00, 120.00 degrees
Last column: nearest neighbours and their distance in Å.
Space group P-6m2 (No. 187)
Symmetry-distinct sites (fractional):
Ga: 0.0000 0.0000 0.0000 x1  6 Mo 2.81, 6 Ga 3.14
Mo: 0.0000 0.0000 0.3575 x2  3 C 2.18
Mo: 0.6667 0.3333 0.1731 x2  3 C 2.10
P: 0.6667 0.3333 0.5000 x1  6 Mo 2.53
C: 0.3333 0.6667 0.2594 x2  6 Mo 2.10-2.18


## GaMo4PbC2 (GGA-PBE)

Data for a geometry-optimized GaMo4PbC2 structure.

Values from the calculation:
Total DFT energy (no corrections), eV/atom: -8.51

Cell lengths 3.1657, 3.1657, 13.4290 Å; angles 90.00, 90.00, 120.00 degrees
Last column: nearest neighbours and their distance in Å.
Space group P-6m2 (No. 187)
Symmetry-distinct sites (fractional):
Ga: 0.0000 0.0000 0.0000 x1  6 Mo 2.75
Mo: 0.0000 0.0000 0.3186 x2  3 C 2.12
Mo: 0.6667 0.3333 0.1532 x2  3 C 2.16
Pb: 0.6667 0.3333 0.5000 x1  6 Mo 3.05, 6 Pb 3.17
C: 0.3333 0.6667 0.2385 x2  6 Mo 2.12-2.16


## GaMo4C2S (GGA-PBE)

Data for a geometry-optimized GaMo4C2S structure.

Values from the calculation:
Total DFT energy (no corrections), eV/atom: -8.72

Cell lengths 3.1384, 3.1384, 12.4686 Å; angles 90.00, 90.00, 120.00 degrees
Last column: nearest neighbours and their distance in Å.
Space group P-6m2 (No. 187)
Symmetry-distinct sites (fractional):
Ga: 0.0000 0.0000 0.0000 x1  6 Mo 2.78
Mo: 0.0000 0.0000 0.3488 x2  3 C 2.14
Mo: 0.3333 0.6667 0.1694 x2  3 C 2.12
C: 0.6667 0.3333 0.2575 x2  6 Mo 2.12-2.14
S: 0.3333 0.6667 0.5000 x1  6 Mo 2.62


## GaSbMo4C2 (GGA-PBE)

Data for a geometry-optimized GaSbMo4C2 structure.

Values from the calculation:
Total DFT energy (no corrections), eV/atom: -8.63

Cell lengths 3.1622, 3.1622, 13.1619 Å; angles 90.00, 90.00, 120.00 degrees
Last column: nearest neighbours and their distance in Å.
Space group P-6m2 (No. 187)
Symmetry-distinct sites (fractional):
Ga: 0.0000 0.0000 0.0000 x1  6 Mo 2.77
Sb: 0.6667 0.3333 0.5000 x1  6 Mo 2.91, 6 Sb 3.16
Mo: 0.0000 0.0000 0.3277 x2  3 C 2.13
Mo: 0.6667 0.3333 0.1581 x2  3 C 2.15
C: 0.3333 0.6667 0.2444 x2  6 Mo 2.13-2.15


## Sc4Ga3Mo2C3 (GGA-PBE)

Data for a geometry-optimized Sc4Ga3Mo2C3 structure.

Values from the calculation:
Total DFT energy (no corrections), eV/atom: -7.54

Cell lengths 9.6646, 5.6238, 13.9852 Å; angles 90.00, 103.80, 90.00 degrees
Last column: nearest neighbours and their distance in Å.
Space group C2/c (No. 15)
Symmetry-distinct sites (fractional):
Sc: 0.1155 0.0736 0.0948 x8  3 C 2.27-2.29
Sc: 0.2130 0.0886 0.4050 x8  3 C 2.27-2.30
Ga: 0.0000 0.1446 0.7500 x4  2 Ga 2.68, 2 Mo 2.82, 4 Sc 2.92-2.94
Ga: 0.1378 0.4425 0.2478 x8  2 Ga 2.68, 2 Mo 2.83-2.87, 4 Sc 2.93-2.96
Mo: 0.0620 0.4131 0.9256 x8  3 C 2.08-2.10
C: 0.0800 0.2595 0.5000 x8  2 Mo 2.10, 4 Sc 2.27-2.29
C: 0.2500 0.2500 0.0000 x4  2 Mo 2.08, 4 Sc 2.29-2.30